[1]
DFT (PBE+U) results for crystalline Mg3WO at its relaxed geometry.

Output
V	16.8	A^3/atom
E	-3.760	eV per atom
energy above the most stable polymorph in this dataset	0.000	eV/atom

Unit cell a=4.3821 b=4.3821 c=4.3821 alpha=90.00 beta=90.00 gamma=90.00
With the nearest neighbours (Å) after each atom.
Positions (direct):
Mg 0.0000 0.0000 0.5000  2 O 2.19
Mg 0.0000 0.5000 0.0000  2 O 2.19
Mg 0.5000 0.0000 0.0000  2 O 2.19
W 0.5000 0.5000 0.5000  12 Mg 3.10
O 0.0000 0.0000 0.0000  6 Mg 2.19



[2]
DFT (PBE+U) results for crystalline MgW2O at its relaxed geometry.

Output
V	18.1	A^3/atom
E	-3.825	eV per atom
energy above the most stable polymorph in this dataset	0.775	eV/atom

Unit cell a=4.6809 b=4.6809 c=4.6809 alpha=60.00 beta=60.00 gamma=60.00
With the nearest neighbours (Å) after each atom.
Positions (direct):
Mg 0.0000 0.0000 0.0000  8 W 2.87
W 0.2500 0.2500 0.2500  4 O 2.87, 4 Mg 2.87
W 0.7500 0.7500 0.7500  4 O 2.87, 4 Mg 2.87
O 0.5000 0.5000 0.5000  8 W 2.87



[3]
DFT (PBE+U) results for crystalline Mg3WO4 at its relaxed geometry.

Output
V	10.9	A^3/atom
E	-5.941	eV per atom

Unit cell a=4.4358 b=4.4358 c=4.4358 alpha=90.00 beta=90.00 gamma=90.00
With the nearest neighbours (Å) after each atom.
Positions (direct):
Mg 0.0000 0.0000 0.5000  6 O 2.22
Mg 0.0000 0.5000 0.0000  6 O 2.22
Mg 0.5000 0.0000 0.0000  6 O 2.22
W 0.5000 0.5000 0.5000  6 O 2.22
O 0.0000 0.0000 0.0000  6 Mg 2.22
O 0.0000 0.5000 0.5000  2 W 2.22, 4 Mg 2.22
O 0.5000 0.0000 0.5000  2 W 2.22, 4 Mg 2.22
O 0.5000 0.5000 0.0000  2 W 2.22, 4 Mg 2.22



[4]
DFT (PBE+U) results for crystalline MgWO3 at its relaxed geometry.

Output
V	12.7	A^3/atom
E	-6.334	eV per atom

Unit cell a=3.9882 b=3.9882 c=3.9882 alpha=90.00 beta=90.00 gamma=90.00
With the nearest neighbours (Å) after each atom.
Positions (direct):
Mg 0.0000 0.0000 0.0000  12 O 2.82
W 0.5000 0.5000 0.5000  6 O 1.99
O 0.0000 0.5000 0.5000  2 W 1.99
O 0.5000 0.0000 0.5000  2 W 1.99
O 0.5000 0.5000 0.0000  2 W 1.99



[5]
DFT (PBE+U) results for crystalline MgWO4 at its relaxed geometry.

Output
V	11.6	A^3/atom
E	-7.044	eV per atom

Unit cell a=4.7506 b=5.7208 c=10.2386 alpha=90.00 beta=90.00 gamma=90.00
With the nearest neighbours (Å) after each atom.
Positions (direct):
Mg 0.0000 0.0000 0.0000  6 O 2.08-2.15
Mg 0.0000 0.0000 0.5000  6 O 2.08-2.15
Mg 0.5000 0.5000 0.0000  6 O 2.08-2.15
Mg 0.5000 0.5000 0.5000  6 O 2.08-2.15
W 0.0000 0.3377 0.2500  4 O 1.88
W 0.0000 0.6623 0.7500  4 O 1.88
W 0.5000 0.1623 0.7500  4 O 1.88
W 0.5000 0.8377 0.2500  4 O 1.88
O 0.1931 0.2819 0.0925  1 W 1.88, 1 Mg 2.08
O 0.1931 0.7181 0.5925  1 W 1.88, 1 Mg 2.08
O 0.2389 0.0479 0.3236  1 W 1.88
O 0.2389 0.9521 0.8236  1 W 1.88
O 0.2611 0.4521 0.8236  1 W 1.88
O 0.2611 0.5479 0.3236  1 W 1.88
O 0.3069 0.2181 0.5925  1 W 1.88, 1 Mg 2.08
O 0.3069 0.7819 0.0925  1 W 1.88, 1 Mg 2.08
O 0.6931 0.2181 0.9075  1 W 1.88, 1 Mg 2.08
O 0.6931 0.7819 0.4075  1 W 1.88, 1 Mg 2.08
O 0.7389 0.4521 0.6764  1 W 1.88
O 0.7389 0.5479 0.1764  1 W 1.88
O 0.7611 0.0479 0.1764  1 W 1.88
O 0.7611 0.9521 0.6764  1 W 1.88
O 0.8069 0.2819 0.4075  1 W 1.88, 1 Mg 2.08
O 0.8069 0.7181 0.9075  1 W 1.88, 1 Mg 2.08



[6]
DFT (PBE+U) results for crystalline Mg2W2O5 at its relaxed geometry.

Output
V	12.9	A^3/atom
E	-6.528	eV per atom

Unit cell a=3.1643 b=5.2055 c=14.1336 alpha=90.00 beta=92.80 gamma=90.00
With the nearest neighbours (Å) after each atom.
Positions (direct):
Mg 0.0234 0.0000 0.0520  4 O 1.95-2.05
Mg 0.0741 0.8884 0.5397  4 O 1.98-2.09
Mg 0.9259 0.3884 0.4603  4 O 1.98-2.09
Mg 0.9766 0.5000 0.9480  4 O 1.95-2.05
W 0.4597 0.8796 0.3257  4 O 2.02-2.12
W 0.4632 0.0108 0.8252  2 O 1.92-1.95
W 0.5368 0.5108 0.1748  2 O 1.92-1.95
W 0.5403 0.3796 0.6743  4 O 2.02-2.12
O 0.0172 0.3667 0.0843  2 Mg 1.96-2.05, 2 W 2.17
O 0.0335 0.5400 0.5965  2 Mg 1.99-2.09, 2 W 2.08-2.12
O 0.4293 0.6109 0.4298  2 Mg 1.98-2.03, 1 W 2.04
O 0.4692 0.3060 0.9107  2 Mg 1.95, 1 W 1.95
O 0.4910 0.1995 0.2458  2 W 1.92-2.02
O 0.5090 0.6995 0.7542  2 W 1.92-2.02
O 0.5308 0.8060 0.0893  2 Mg 1.95, 1 W 1.95
O 0.5707 0.1109 0.5702  2 Mg 1.98-2.03, 1 W 2.04
O 0.9665 0.0400 0.4035  2 Mg 1.99-2.09, 2 W 2.08-2.12
O 0.9828 0.8667 0.9157  2 Mg 1.96-2.05, 2 W 2.17



[7]
DFT (PBE+U) results for crystalline MgW3O at its relaxed geometry.

Output
V	15.3	A^3/atom
E	-4.912	eV per atom
energy above the most stable polymorph in this dataset	0.000	eV/atom

Unit cell a=4.2439 b=4.2439 c=4.2439 alpha=90.00 beta=90.00 gamma=90.00
With the nearest neighbours (Å) after each atom.
Positions (direct):
Mg 0.0000 0.0000 0.0000  12 W 3.00
W 0.0000 0.5000 0.5000  2 O 2.12
W 0.5000 0.0000 0.5000  2 O 2.12
W 0.5000 0.5000 0.0000  2 O 2.12
O 0.5000 0.5000 0.5000  6 W 2.12



[8]
DFT (PBE+U) results for crystalline Mg3WO6 at its relaxed geometry.

Output
V	11.4	A^3/atom
E	-6.650	eV per atom
energy above the most stable polymorph in this dataset	0.000	eV/atom

Unit cell a=6.1082 b=6.1082 c=6.1082 alpha=91.28 beta=91.28 gamma=91.28
With the nearest neighbours (Å) after each atom.
Positions (direct):
Mg 0.0598 0.7498 0.5641  6 O 2.03-2.27
Mg 0.2502 0.4359 0.9402  6 O 2.03-2.27
Mg 0.4359 0.9402 0.2502  6 O 2.03-2.27
Mg 0.5641 0.0598 0.7498  6 O 2.03-2.27
Mg 0.7498 0.5641 0.0598  6 O 2.03-2.27
Mg 0.9402 0.2502 0.4359  6 O 2.03-2.27
W 0.0000 0.0000 0.0000  6 O 1.95
W 0.5000 0.5000 0.5000  6 O 1.95
O 0.0506 0.6987 0.9063  1 W 1.95, 2 Mg 2.05-2.12
O 0.0937 0.9494 0.3013  1 W 1.95, 2 Mg 2.05-2.12
O 0.1983 0.4240 0.5709  1 W 1.95, 2 Mg 2.03-2.18
O 0.3013 0.0937 0.9494  1 W 1.95, 2 Mg 2.05-2.12
O 0.4240 0.5709 0.1983  1 W 1.95, 2 Mg 2.03-2.18
O 0.4291 0.8017 0.5760  1 W 1.95, 2 Mg 2.03-2.18
O 0.5709 0.1983 0.4240  1 W 1.95, 2 Mg 2.03-2.18
O 0.5760 0.4291 0.8017  1 W 1.95, 2 Mg 2.03-2.18
O 0.6987 0.9063 0.0506  1 W 1.95, 2 Mg 2.05-2.12
O 0.8017 0.5760 0.4291  1 W 1.95, 2 Mg 2.03-2.18
O 0.9063 0.0506 0.6987  1 W 1.95, 2 Mg 2.05-2.12
O 0.9494 0.3013 0.0937  1 W 1.95, 2 Mg 2.05-2.12



[9]
DFT (PBE+U) results for crystalline MgWO3 at its relaxed geometry.

Output
V	11.4	A^3/atom
E	-6.960	eV per atom

Unit cell a=5.4271 b=7.8868 c=5.3134 alpha=90.00 beta=90.00 gamma=90.00
With the nearest neighbours (Å) after each atom.
Positions (direct):
Mg 0.0296 0.2500 0.0132  4 O 2.04-2.11
Mg 0.4704 0.7500 0.5132  4 O 2.04-2.11
Mg 0.5296 0.2500 0.4868  4 O 2.04-2.11
Mg 0.9704 0.7500 0.9868  4 O 2.04-2.11
W 0.0000 0.0000 0.5000  6 O 2.04-2.15
W 0.0000 0.5000 0.5000  6 O 2.04-2.15
W 0.5000 0.0000 0.0000  6 O 2.04-2.15
W 0.5000 0.5000 0.0000  6 O 2.04-2.15
O 0.0977 0.7500 0.6251  2 Mg 2.04-2.11, 2 W 2.15
O 0.1768 0.5694 0.1666  2 W 2.04-2.09, 1 Mg 2.05
O 0.1768 0.9306 0.1666  2 W 2.04-2.09, 1 Mg 2.05
O 0.3232 0.0694 0.6666  2 W 2.04-2.09, 1 Mg 2.05
O 0.3232 0.4306 0.6666  2 W 2.04-2.09, 1 Mg 2.05
O 0.4023 0.2500 0.1251  2 Mg 2.04-2.11, 2 W 2.15
O 0.5977 0.7500 0.8749  2 Mg 2.04-2.11, 2 W 2.15
O 0.6768 0.5694 0.3334  2 W 2.04-2.09, 1 Mg 2.05
O 0.6768 0.9306 0.3334  2 W 2.04-2.09, 1 Mg 2.05
O 0.8232 0.0694 0.8334  2 W 2.04-2.09, 1 Mg 2.05
O 0.8232 0.4306 0.8334  2 W 2.04-2.09, 1 Mg 2.05
O 0.9023 0.2500 0.3749  2 Mg 2.04-2.11, 2 W 2.15



[10]
DFT (PBE+U) results for crystalline MgWO3 at its relaxed geometry.

Output
V	10.2	A^3/atom
E	-5.628	eV per atom

Unit cell a=3.7141 b=3.7141 c=3.7141 alpha=90.00 beta=90.00 gamma=90.00
With the nearest neighbours (Å) after each atom.
Positions (direct):
Mg 0.0000 0.0000 0.0000  6 O 1.86
W 0.5000 0.5000 0.5000  12 O 2.63
O 0.0000 0.0000 0.5000  2 Mg 1.86
O 0.0000 0.5000 0.0000  2 Mg 1.86
O 0.5000 0.0000 0.0000  2 Mg 1.86



[11]
DFT (PBE+U) results for crystalline MgW3O at its relaxed geometry.

Output
V	26.6	A^3/atom
E	-2.771	eV per atom
energy above the most stable polymorph in this dataset	2.141	eV/atom

Unit cell a=5.1063 b=5.1063 c=5.1063 alpha=90.00 beta=90.00 gamma=90.00
With the nearest neighbours (Å) after each atom.
Positions (direct):
Mg 0.0000 0.0000 0.0000  6 W 2.55
W 0.0000 0.0000 0.5000  2 Mg 2.55
W 0.0000 0.5000 0.0000  2 Mg 2.55
W 0.5000 0.0000 0.0000  2 Mg 2.55
O 0.5000 0.5000 0.5000  12 W 3.61



[12]
DFT (PBE+U) results for crystalline MgWO4 at its relaxed geometry.

Output
V	12.8	A^3/atom
E	-7.068	eV per atom

Unit cell a=5.5415 b=5.5649 c=5.5950 alpha=90.00 beta=117.49 gamma=90.00
With the nearest neighbours (Å) after each atom.
Positions (direct):
Mg 0.0000 0.1272 0.2500  6 O 2.07-2.12
Mg 0.0000 0.8728 0.7500  6 O 2.07-2.12
W 0.5000 0.3509 0.7500  6 O 1.84-2.03
W 0.5000 0.6491 0.2500  6 O 1.84-2.03
O 0.2215 0.1355 0.6766  1 W 1.84
O 0.2215 0.8645 0.1766  1 W 1.84
O 0.3084 0.3832 0.3463  2 W 2.01-2.03, 1 Mg 2.10
O 0.3084 0.6168 0.8463  2 W 2.01-2.03, 1 Mg 2.10
O 0.6916 0.3832 0.1537  2 W 2.01-2.03, 1 Mg 2.10
O 0.6916 0.6168 0.6537  2 W 2.01-2.03, 1 Mg 2.10
O 0.7785 0.1355 0.8234  1 W 1.84
O 0.7785 0.8645 0.3234  1 W 1.84



[13]
DFT (PBE+U) results for crystalline Mg2W3O8 at its relaxed geometry.

Output
V	11.6	A^3/atom
E	-6.910	eV per atom
energy above the most stable polymorph in this dataset	0.207	eV/atom

Unit cell a=6.2348 b=6.2348 c=4.9118 alpha=104.92 beta=104.92 gamma=55.57
With the nearest neighbours (Å) after each atom.
Positions (direct):
Mg 0.2194 0.2194 0.1583  4 O 2.04-2.17
Mg 0.7806 0.7806 0.8417  4 O 2.04-2.17
W 0.2699 0.7301 0.5000  6 O 2.03-2.12
W 0.5000 0.5000 0.0000  6 O 2.09-2.22
W 0.7301 0.2699 0.5000  6 O 2.03-2.12
O 0.0938 0.0938 0.3912  2 W 2.03, 1 Mg 2.04
O 0.1386 0.6167 0.0997  2 W 2.04-2.09, 1 Mg 2.06
O 0.3627 0.3627 0.5681  3 W 2.12-2.22, 1 Mg 2.17
O 0.3833 0.8614 0.9003  2 W 2.04-2.09, 1 Mg 2.06
O 0.6167 0.1386 0.0997  2 W 2.04-2.09, 1 Mg 2.06
O 0.6373 0.6373 0.4319  3 W 2.12-2.22, 1 Mg 2.17
O 0.8614 0.3833 0.9003  2 W 2.04-2.09, 1 Mg 2.06
O 0.9062 0.9062 0.6088  2 W 2.03, 1 Mg 2.04



[14]
DFT (PBE+U) results for crystalline MgWO4 at its relaxed geometry.

Output
V	11.5	A^3/atom
E	-7.094	eV per atom

Unit cell a=4.7425 b=5.7487 c=5.0440 alpha=90.00 beta=91.19 gamma=90.00
With the nearest neighbours (Å) after each atom.
Positions (direct):
Mg 0.0000 0.1654 0.2500  6 O 2.10-2.16
Mg 0.0000 0.8346 0.7500  6 O 2.10-2.16
W 0.5000 0.3248 0.7500  4 O 1.84-1.95
W 0.5000 0.6752 0.2500  4 O 1.84-1.95
O 0.2407 0.1244 0.6004  1 W 1.84
O 0.2407 0.8756 0.1004  1 W 1.84
O 0.2839 0.3908 0.0668  2 W 1.95-2.13, 1 Mg 2.10
O 0.2839 0.6092 0.5668  2 W 1.95-2.13, 1 Mg 2.10
O 0.7161 0.3908 0.4332  2 W 1.95-2.13, 1 Mg 2.10
O 0.7161 0.6092 0.9332  2 W 1.95-2.13, 1 Mg 2.10
O 0.7593 0.1244 0.8996  1 W 1.84
O 0.7593 0.8756 0.3996  1 W 1.84



[15]
DFT (PBE+U) results for crystalline Y4MgW4O20 at its relaxed geometry.

Output
V	14.5	A^3/atom
E	-7.819	eV per atom

Unit cell a=5.3370 b=6.5152 c=12.7796 alpha=91.40 beta=90.35 gamma=109.28
With the nearest neighbours (Å) after each atom.
Positions (direct):
Y 0.0000 0.0000 0.0000  8 O 2.27-2.51
Y 0.1649 0.9212 0.4946  8 O 2.30-2.46
Y 0.4767 0.4970 0.3867  7 O 2.28-2.48
Y 0.6907 0.4235 0.8884  7 O 2.29-2.40
Mg 0.0432 0.1552 0.7390  4 O 1.98-2.11
W 0.2959 0.5572 0.0754  4 O 1.80-1.90
W 0.3871 0.8546 0.8047  4 O 1.81-1.93
W 0.8060 0.0603 0.2991  4 O 1.79-1.95
W 0.8680 0.4050 0.5773  5 O 1.85-1.97
O 0.0828 0.7381 0.8840  1 W 1.87
O 0.1393 0.1732 0.3643  1 W 1.87
O 0.1773 0.5548 0.5009  1 W 1.91
O 0.1860 0.7904 0.0941  1 W 1.81
O 0.2853 0.9118 0.6760  1 W 1.81
O 0.3011 0.1491 0.8504  1 Mg 1.98, 1 W 2.18
O 0.3572 0.4991 0.2085  1 W 1.80
O 0.4089 0.2763 0.0285  1 W 2.18, 2 Y 2.35-2.36, 1 O 2.40
O 0.4711 0.6093 0.7821  1 W 1.81
O 0.4871 0.8770 0.3663  1 W 1.95
O 0.5518 0.2394 0.5129  1 W 1.85
O 0.5997 0.6942 0.9948  1 W 1.90
O 0.7158 0.3047 0.3077  1 W 1.81
O 0.7379 0.0409 0.8456  1 W 1.93, 1 Mg 2.08
O 0.7761 0.6562 0.5554  1 W 1.88
O 0.8270 0.0133 0.1610  1 W 1.79
O 0.8538 0.7817 0.3541  1 W 2.05, 1 O 2.25, 1 Y 2.29
O 0.8786 0.4062 0.7238  1 W 1.87
O 0.9848 0.3654 0.0089  1 W 1.90
O 0.9952 0.1534 0.5852  1 W 1.97, 1 Mg 1.98



[16]
DFT (PBE+U) results for crystalline MgZnW2O at its relaxed geometry.

Output
V	22.8	A^3/atom
E	-3.160	eV per atom

Unit cell a=5.5730 b=5.5730 c=3.6626 alpha=90.00 beta=90.00 gamma=90.00
With the nearest neighbours (Å) after each atom.
Positions (direct):
Mg 0.0000 0.0000 0.0000  8 W 3.33, 2 Mg 3.66
Zn 0.5000 0.5000 0.5000  2 O 1.83
W 0.0000 0.5000 0.5000  2 Zn 2.79
W 0.5000 0.0000 0.5000  2 Zn 2.79
O 0.5000 0.5000 0.0000  2 Zn 1.83



[17]
DFT (PBE+U) results for crystalline MgZrWO6 at its relaxed geometry.

Output
V	12.2	A^3/atom
E	-7.858	eV per atom

Unit cell a=4.8206 b=4.8206 c=9.4116 alpha=90.00 beta=90.00 gamma=90.00
With the nearest neighbours (Å) after each atom.
Positions (direct):
Mg 0.0000 0.0000 0.0000  6 O 2.11-2.15
Mg 0.5000 0.5000 0.5000  6 O 2.11-2.15
Zr 0.0000 0.0000 0.6688  6 O 2.10-2.15
Zr 0.5000 0.5000 0.1688  6 O 2.10-2.15
W 0.0000 0.0000 0.3330  6 O 1.94-1.97
W 0.5000 0.5000 0.8330  6 O 1.94-1.97
O 0.1908 0.1908 0.1780  1 W 1.95, 1 Zr 2.11, 1 Mg 2.12
O 0.1907 0.1907 0.4866  1 W 1.94, 1 Mg 2.11, 1 Zr 2.15
O 0.2116 0.2116 0.8310  1 W 1.97, 1 Zr 2.10, 1 Mg 2.15
O 0.2884 0.7116 0.3310  1 W 1.97, 1 Zr 2.10, 1 Mg 2.15
O 0.3092 0.6908 0.6780  1 W 1.95, 1 Zr 2.11, 1 Mg 2.12
O 0.3093 0.6907 0.9866  1 W 1.94, 1 Mg 2.11, 1 Zr 2.15
O 0.6908 0.3092 0.6780  1 W 1.95, 1 Zr 2.11, 1 Mg 2.12
O 0.6907 0.3093 0.9866  1 W 1.94, 1 Mg 2.11, 1 Zr 2.15
O 0.7116 0.2884 0.3310  1 W 1.97, 1 Zr 2.10, 1 Mg 2.15
O 0.7884 0.7884 0.8310  1 W 1.97, 1 Zr 2.10, 1 Mg 2.15
O 0.8092 0.8092 0.1780  1 W 1.95, 1 Zr 2.11, 1 Mg 2.12
O 0.8093 0.8093 0.4866  1 W 1.94, 1 Mg 2.11, 1 Zr 2.15